Pm8Sn2Ge3 | PBE | optimized geometry

## Properties
As for the final energy: -5.06 eV/atom. The calculation puts the energy of formation from the pure elements at -44 kJ/mol of atoms.

Lattice parameters (Å, degrees): 15.898 8.304 7.257 90.00 107.01 90.00
Space group C2/m (No. 12)
Asymmetric unit:
Pm1 0.101 0.000 0.376
Pm2 0.108 0.249 0.902
Pm3 0.110 0.500 0.408
Sn1 0.250 0.000 0.169
Ge1 0.000 0.246 0.500
Ge2 0.000 0.500 0.000